4
Lattice="4.539 0.000 0.000 0.000 4.539 0.000 -2.269 -2.269 4.582" Properties=species:S:1:pos:R:3 comment="Pa3Au, optimized geometry, DFT PBE-GGA" dos_ef_per_ev_atom=2.30 total_magnetization_mub_per_fu=0.00 polymorph_energy_ev_per_atom=0.1872 e_form_ev_per_fu=-0.10 pbc="T T T"
Pa 2.269 2.269 0.000
Pa 0.000 2.269 2.291
Au 0.000 0.000 0.000
Pa 2.269 0.000 2.291


4
Lattice="4.424 0.000 0.000 0.000 4.424 0.000 0.000 0.000 4.424" Properties=species:S:1:pos:R:3 comment="PaAu3, optimized geometry, DFT PBE-GGA" dos_ef_per_ev_atom=1.50 total_magnetization_mub_per_fu=0.96 polymorph_energy_ev_per_atom=0.3098 e_form_ev_per_fu=-0.45 pbc="T T T"
Au 2.212 2.212 0.000
Pa 0.000 0.000 0.000
Au 2.212 0.000 2.212
Au 0.000 2.212 2.212


8
Lattice="-0.954 -3.453 -3.540 3.870 1.683 -2.684 4.000 -4.273 3.090" Properties=species:S:1:pos:R:3 comment="PaAu3, optimized geometry, DFT PBE-GGA" dos_ef_per_ev_atom=0.96 total_magnetization_mub_per_fu=0.00 polymorph_energy_ev_per_atom=0.0000 e_form_ev_per_fu=-1.69 pbc="T T T"
Pa 2.585 1.124 -1.793
Au 1.716 -0.820 0.337
Au 5.761 -3.586 -1.636
Au 3.677 -1.360 -3.246
Pa 2.808 -3.304 -1.116
Au 4.625 -0.995 -0.276
Au 0.768 -1.185 -2.633
Au 3.632 -2.866 1.817


3
Lattice="-1.341 3.248 1.272 0.690 -0.933 3.552 4.810 1.154 -2.170" Properties=species:S:1:pos:R:3 comment="Pa2Au, optimized geometry, DFT PBE-GGA" dos_ef_per_ev_atom=2.14 total_magnetization_mub_per_fu=0.00 e_form_ev_per_fu=-0.31 pbc="T T T"
Au -0.325 1.157 2.412
Pa 2.567 2.711 2.684
Pa 1.592 0.758 -0.029


4
Lattice="-4.508 0.287 -1.907 -1.381 -3.865 2.683 1.994 3.911 2.180" Properties=species:S:1:pos:R:3 comment="PaAu3, optimized geometry, DFT PBE-GGA" dos_ef_per_ev_atom=1.35 total_magnetization_mub_per_fu=0.01 polymorph_energy_ev_per_atom=0.0391 e_form_ev_per_fu=-1.53 pbc="T T T"
Au -2.945 -1.789 0.388
Au -2.730 1.205 0.330
Au -1.166 -0.872 2.625
Pa 0.000 0.000 0.000


3
Lattice="4.815 0.000 0.000 0.000 4.815 0.000 -2.407 -2.407 3.404" Properties=species:S:1:pos:R:3 comment="PaAu2, optimized geometry, DFT PBE-GGA" dos_ef_per_ev_atom=1.64 total_magnetization_mub_per_fu=0.06 e_form_ev_per_fu=-0.10 pbc="T T T"
Au 0.000 2.407 1.702
Pa 0.000 0.000 0.000
Au 2.407 0.000 1.702


4
Lattice="4.564 0.000 0.000 0.000 4.564 0.000 0.000 0.000 4.564" Properties=species:S:1:pos:R:3 comment="Pa3Au, optimized geometry, DFT PBE-GGA" dos_ef_per_ev_atom=2.17 total_magnetization_mub_per_fu=0.00 polymorph_energy_ev_per_atom=0.2139 e_form_ev_per_fu=0.00 pbc="T T T"
Pa 2.282 0.000 2.282
Pa 0.000 2.282 2.282
Pa 2.282 2.282 0.000
Au 0.000 0.000 0.000


3
Lattice="3.599 0.000 0.000 0.000 3.599 0.000 -1.800 -1.800 5.869" Properties=species:S:1:pos:R:3 comment="PaPbAu, optimized geometry, DFT PBE-GGA" dos_ef_per_ev_atom=1.78 total_magnetization_mub_per_fu=1.29 e_form_ev_per_fu=-0.16 pbc="T T T"
Pb 0.000 0.000 0.134
Pa 0.000 0.000 3.701
Au 1.800 1.800 2.034